[1]
! CsH2O2 (PBE, relaxed); values from VASP
! **D(E_F)**: 0.00 states/eV/cell
! **Space group**: C2/m (12)
! **Energy**: -0.157 hartree per atom
&SYSTEM
  ibrav = 0, nat = 10, ntyp = 3
/
ATOMIC_SPECIES
Cs 132.91 Cs.upf
H 1.01 H.upf
O 16.00 O.upf
CELL_PARAMETERS angstrom
3.5595 -4.3855 0.0000
3.5595 4.3855 0.0000
-3.1632 0.0000 4.5211
ATOMIC_POSITIONS crystal
Cs 0.2276 0.7724 0.0000
Cs 0.7724 0.2276 0.0000
H 0.0684 0.9316 0.5000
H 0.2936 0.2936 0.5669
H 0.7064 0.7064 0.4331
H 0.9316 0.0684 0.5000
O 0.1891 0.1891 0.6385
O 0.4115 0.5885 0.5000
O 0.5885 0.4115 0.5000
O 0.8109 0.8109 0.3615


[2]
! Cs2H3O2 (PBE, relaxed); values from VASP
! **D(E_F)**: 3.12 states/eV/cell
! **Space group**: P2_1/c (14)
! **Energy**: -0.151 hartree per atom
&SYSTEM
  ibrav = 0, nat = 14, ntyp = 3
/
ATOMIC_SPECIES
Cs 132.91 Cs.upf
H 1.01 H.upf
O 16.00 O.upf
CELL_PARAMETERS angstrom
5.8408 0.0000 0.0000
0.0000 9.1934 0.0000
-5.8003 0.0000 6.8039
ATOMIC_POSITIONS crystal
Cs 0.0606 0.1955 0.2042
Cs 0.0606 0.3045 0.7042
Cs 0.9394 0.6955 0.2958
Cs 0.9394 0.8045 0.7958
H 0.4622 0.5503 0.2969
H 0.4622 0.9497 0.7969
H 0.5000 0.0000 0.0000
H 0.5000 0.5000 0.5000
H 0.5378 0.0503 0.2031
H 0.5378 0.4497 0.7031
O 0.4079 0.0770 0.0635
O 0.4079 0.4230 0.5635
O 0.5921 0.5770 0.4365
O 0.5921 0.9230 0.9365


[3]
! Cs3H5O2 (PBE, relaxed); values from VASP
! **Space group**: Ibam (72)
! **Energy**: -0.121 hartree per atom
&SYSTEM
  ibrav = 0, nat = 20, ntyp = 3
/
ATOMIC_SPECIES
Cs 132.91 Cs.upf
H 1.01 H.upf
O 16.00 O.upf
CELL_PARAMETERS angstrom
-3.4878 8.0275 4.0077
3.4878 -8.0275 4.0077
3.4878 8.0275 -4.0077
ATOMIC_POSITIONS crystal
Cs 0.1500 0.5736 0.7236
Cs 0.2500 0.2500 0.0000
Cs 0.3500 0.0736 0.4236
Cs 0.6500 0.9264 0.5764
Cs 0.7500 0.7500 0.0000
Cs 0.8500 0.4264 0.2764
H 0.0731 0.2500 0.8231
H 0.1670 0.1170 0.2839
H 0.2500 0.7500 0.5000
H 0.3330 0.6170 0.9500
H 0.4269 0.2500 0.1769
H 0.5731 0.7500 0.8231
H 0.6670 0.3830 0.0500
H 0.7500 0.2500 0.5000
H 0.8330 0.8830 0.7161
H 0.9269 0.7500 0.1769
O 0.1619 0.9780 0.1399
O 0.3381 0.4780 0.8161
O 0.6619 0.5220 0.1839
O 0.8381 0.0220 0.8601


[4]
! CsH3O (PBE, relaxed); values from VASP
! **Space group**: R3m (160)
! **Energy relative to the lowest polymorph listed for this composition**: 0.00 eV/f.u.
&SYSTEM
  ibrav = 0, nat = 5, ntyp = 3
/
ATOMIC_SPECIES
Cs 132.91 Cs.upf
H 1.01 H.upf
O 16.00 O.upf
CELL_PARAMETERS angstrom
1.8568 1.0720 5.1510
-1.8568 1.0720 5.1510
0.0000 -2.1441 5.1510
ATOMIC_POSITIONS crystal
Cs 0.0000 0.0000 0.0000
H 0.6275 0.9375 0.9375
H 0.9375 0.6275 0.9375
H 0.9375 0.9375 0.6275
O 0.1901 0.1901 0.1901


[5]
! Cs2H2O3 (PBE, relaxed); values from VASP
! **D(E_F)**: 0.41 states/eV/cell
! **Space group**: P-1 (2)
! **Energy**: -0.152 hartree per atom
&SYSTEM
  ibrav = 0, nat = 7, ntyp = 3
/
ATOMIC_SPECIES
Cs 132.91 Cs.upf
H 1.01 H.upf
O 16.00 O.upf
CELL_PARAMETERS angstrom
4.4031 0.0000 0.0000
-2.0299 4.0503 0.0000
-0.7757 -1.4304 8.2934
ATOMIC_POSITIONS crystal
Cs 0.1341 0.2254 0.2917
Cs 0.8659 0.7746 0.7083
H 0.2741 0.6299 0.9995
H 0.7259 0.3701 0.0005
O 0.2710 0.4698 0.9112
O 0.5000 0.0000 0.5000
O 0.7290 0.5302 0.0888


[6]
! CsHO (PBE, relaxed); values from VASP
! **D(E_F)**: 0.00 states/eV/cell
! **Space group**: Cm (8)
! **Energy**: -0.159 hartree per atom
&SYSTEM
  ibrav = 0, nat = 3, ntyp = 3
/
ATOMIC_SPECIES
Cs 132.91 Cs.upf
H 1.01 H.upf
O 16.00 O.upf
CELL_PARAMETERS angstrom
3.2471 -2.3957 0.0000
3.2471 2.3957 0.0000
-0.0261 0.0000 4.0590
ATOMIC_POSITIONS crystal
Cs 0.0000 0.0000 0.0000
H 0.4928 0.4928 0.5003
O 0.3428 0.3428 0.5051


[7]
! CsH2O (PBE, relaxed); values from VASP
! **D(E_F)**: 0.00 states/eV/cell
! **Space group**: I4_1/amd (141)
! **Energy relative to the lowest polymorph listed for this composition**: 2.34 eV/f.u.
&SYSTEM
  ibrav = 0, nat = 8, ntyp = 3
/
ATOMIC_SPECIES
Cs 132.91 Cs.upf
H 1.01 H.upf
O 16.00 O.upf
CELL_PARAMETERS angstrom
-2.7143 2.7143 3.8470
2.7143 -2.7143 3.8470
2.7143 2.7143 -3.8470
ATOMIC_POSITIONS crystal
Cs 0.3750 0.6250 0.7500
Cs 0.6250 0.3750 0.2500
H 0.0000 0.0000 0.0000
H 0.0000 0.0000 0.5000
H 0.0000 0.5000 0.0000
H 0.5000 0.0000 0.5000
O 0.1250 0.8750 0.2500
O 0.8750 0.1250 0.7500


[8]
! CsHO (PBE, relaxed); values from VASP
! **D(E_F)**: 0.00 states/eV/cell
! **Space group**: P1 (1)
! **Energy**: -0.159 hartree per atom
&SYSTEM
  ibrav = 0, nat = 3, ntyp = 3
/
ATOMIC_SPECIES
Cs 132.91 Cs.upf
H 1.01 H.upf
O 16.00 O.upf
CELL_PARAMETERS angstrom
4.1829 0.0000 0.0000
0.7835 4.1243 0.0000
0.7672 0.7995 4.0504
ATOMIC_POSITIONS crystal
Cs 0.0000 0.0000 0.0000
H 0.4574 0.4458 0.4449
O 0.3447 0.3296 0.3329


[9]
! CsH4O (PBE, relaxed); values from VASP
! **D(E_F)**: 1.60 states/eV/cell
! **Space group**: C2/m (12)
! **Energy**: -0.128 hartree per atom
&SYSTEM
  ibrav = 0, nat = 6, ntyp = 3
/
ATOMIC_SPECIES
Cs 132.91 Cs.upf
H 1.01 H.upf
O 16.00 O.upf
CELL_PARAMETERS angstrom
3.8555 -3.3994 0.0000
3.8555 3.3994 0.0000
-3.5446 0.0000 4.9128
ATOMIC_POSITIONS crystal
Cs 0.0000 0.0000 0.0000
H 0.0610 0.0610 0.5479
H 0.4797 0.4797 0.6469
H 0.5203 0.5203 0.3531
H 0.9390 0.9390 0.4521
O 0.5000 0.5000 0.5000


[10]
! CsH3O2 (PBE, relaxed); values from VASP
! **D(E_F)**: 0.00 states/eV/cell
! **Space group**: Amm2 (38)
! **Energy**: -0.173 hartree per atom
&SYSTEM
  ibrav = 0, nat = 6, ntyp = 3
/
ATOMIC_SPECIES
Cs 132.91 Cs.upf
H 1.01 H.upf
O 16.00 O.upf
CELL_PARAMETERS angstrom
4.4021 0.0000 0.0000
0.0000 2.2439 4.0861
0.0000 -2.2439 4.0861
ATOMIC_POSITIONS crystal
Cs 0.0000 0.0000 0.0000
H 0.5000 0.0980 0.4773
H 0.5000 0.4773 0.0980
H 0.5000 0.5864 0.5864
O 0.5000 0.3599 0.3599
O 0.5000 0.7067 0.7067


[11]
! CsH5O3 (PBE, relaxed); values from VASP
! **D(E_F)**: 0.00 states/eV/cell
! **Space group**: Pca2_1 (29)
! **Energy**: -0.177 hartree per atom
&SYSTEM
  ibrav = 0, nat = 72, ntyp = 3
/
ATOMIC_SPECIES
Cs 132.91 Cs.upf
H 1.01 H.upf
O 16.00 O.upf
CELL_PARAMETERS angstrom
13.2830 0.0000 0.0000
0.0000 6.8647 0.0000
0.0000 0.0000 9.2616
ATOMIC_POSITIONS crystal
Cs 0.0759 0.0722 0.0000
Cs 0.1568 0.3901 0.3854
Cs 0.3432 0.3901 0.8854
Cs 0.4241 0.0722 0.5000
Cs 0.5759 0.9278 0.0000
Cs 0.6568 0.6099 0.3854
Cs 0.8432 0.6099 0.8854
Cs 0.9241 0.9278 0.5000
H 0.0338 0.7444 0.2376
H 0.0462 0.5363 0.7070
H 0.0721 0.5919 0.0655
H 0.1093 0.5868 0.9028
H 0.1220 0.2232 0.6814
H 0.1277 0.7170 0.6863
H 0.1770 0.8553 0.4491
H 0.1972 0.8590 0.2758
H 0.2036 0.0468 0.6601
H 0.2262 0.7132 0.0782
H 0.2738 0.7132 0.5782
H 0.2964 0.0468 0.1601
H 0.3028 0.8590 0.7758
H 0.3230 0.8553 0.9491
H 0.3723 0.7170 0.1863
H 0.3780 0.2232 0.1814
H 0.3907 0.5868 0.4028
H 0.4279 0.5919 0.5655
H 0.4538 0.5363 0.2070
H 0.4662 0.7444 0.7376
H 0.5338 0.2556 0.2376
H 0.5462 0.4637 0.7070
H 0.5721 0.4081 0.0655
H 0.6093 0.4132 0.9028
H 0.6220 0.7768 0.6814
H 0.6277 0.2830 0.6863
H 0.6770 0.1447 0.4491
H 0.6972 0.1410 0.2758
H 0.7036 0.9532 0.6601
H 0.7262 0.2868 0.0782
H 0.7738 0.2868 0.5782
H 0.7964 0.9532 0.1601
H 0.8028 0.1410 0.7758
H 0.8230 0.1447 0.9491
H 0.8723 0.2830 0.1863
H 0.8780 0.7768 0.1814
H 0.8907 0.4132 0.4028
H 0.9279 0.4081 0.5655
H 0.9538 0.4637 0.2070
H 0.9662 0.2556 0.7376
O 0.0107 0.3130 0.6645
O 0.0634 0.6740 0.7392
O 0.1281 0.5362 0.0006
O 0.1439 0.8778 0.3505
O 0.1958 0.1846 0.6922
O 0.2238 0.8105 0.6101
O 0.2762 0.8105 0.1101
O 0.3042 0.1846 0.1922
O 0.3561 0.8778 0.8505
O 0.3719 0.5362 0.5006
O 0.4366 0.6740 0.2392
O 0.4893 0.3130 0.1645
O 0.5107 0.6870 0.6645
O 0.5634 0.3260 0.7392
O 0.6281 0.4638 0.0006
O 0.6439 0.1222 0.3505
O 0.6958 0.8154 0.6922
O 0.7238 0.1895 0.6101
O 0.7762 0.1895 0.1101
O 0.8042 0.8154 0.1922
O 0.8561 0.1222 0.8505
O 0.8719 0.4638 0.5006
O 0.9366 0.3260 0.2392
O 0.9893 0.6870 0.1645


[12]
! CsHO (PBE, relaxed); values from VASP
! **D(E_F)**: 0.00 states/eV/cell
! **Space group**: P2_12_12_1 (19)
! **Energy**: -0.159 hartree per atom
&SYSTEM
  ibrav = 0, nat = 12, ntyp = 3
/
ATOMIC_SPECIES
Cs 132.91 Cs.upf
H 1.01 H.upf
O 16.00 O.upf
CELL_PARAMETERS angstrom
4.4994 0.0000 0.0000
0.0000 4.5036 0.0000
0.0000 0.0000 14.4154
ATOMIC_POSITIONS crystal
Cs 0.2494 0.0068 0.3433
Cs 0.2506 0.9932 0.8433
Cs 0.7494 0.4932 0.6567
Cs 0.7506 0.5068 0.1567
H 0.2482 0.9919 0.5761
H 0.2518 0.0081 0.0761
H 0.7482 0.5081 0.4239
H 0.7518 0.4919 0.9239
O 0.2491 0.9934 0.6437
O 0.2509 0.0066 0.1437
O 0.7491 0.5066 0.3563
O 0.7509 0.4934 0.8563